VASP calculation (PBE) on a relaxed Zr2CuSiP2 crystal.

The structure in extended XYZ format:
```
6
Lattice="-2.090 0.689 1.792 -1.918 -0.635 -1.993 -0.435 -14.035 4.892" Properties=species:S:1:pos:R:3 pbc="T T T"
Si -2.004 0.027 -0.100
P -2.286 -9.056 3.066
Zr -2.360 -11.455 3.902
Cu -2.222 -6.990 2.346
P -2.158 -4.924 1.626
Zr -2.083 -2.525 0.789
```

Computed properties:
Energy relative to the elements, uncorrected ... 2.5 eV per formula unit
Total DFT energy (no corrections) ... -5.819 eV per atom
Crystal system ... tetragonal
ρ ... 4.659 Mg/m³